ZrAlGe2O8 after structural relaxation, computed with PBE.

Geometry as CIF:
```
data_ZrAlGe2O8
_cell_length_a 6.543
_cell_length_b 6.543
_cell_length_c 6.404
_cell_angle_alpha 90.00
_cell_angle_beta 90.00
_cell_angle_gamma 90.00
_symmetry_space_group_name_H-M 'I -4 m 2'
_symmetry_Int_Tables_number 119
_symmetry_space_group_name_Hall 'I -4 -2'
loop_
_atom_site_label
_atom_site_type_symbol
_atom_site_fract_x
_atom_site_fract_y
_atom_site_fract_z
Zr1 Zr 0.000 0.000 0.000
Al1 Al 0.000 0.500 0.750
Ge1 Ge 0.000 0.000 0.500
Ge2 Ge 0.000 0.500 0.250
O1 O 0.000 0.201 0.690
O2 O 0.000 0.311 0.060
```

E = -7.1189 eV/atom
Uncorrected formation energy = -2020 meV/atom
Total magnetization = 0.71 μB/f.u.